Here is an optimized crystal structure of CoSi from Alexandria via LeMat-Bulk. Energies are from PBE.

Calculated values
For the uncorrected formation energy, the calculation gives -0.14 eV per atom. As for the symmetry: No. 166. Its mass density is 5.71 g/cm³. The value obtained for the total moment is 0.0 Bohr magnetons per cell. For the total energy, the calculation gives -12.81 eV per formula unit.

Cell lengths 4.672, 4.672, 4.672 Å; angles 47.46, 47.46, 47.46 degrees
Fractional coordinates of all 4 atoms:
Co  0.101  0.101  0.101
Co  0.899  0.899  0.899
Si  0.282  0.282  0.282
Si  0.718  0.718  0.718

---

Here is an optimized crystal structure of CoSi2 from Alexandria via LeMat-Bulk. Energies are from PBE.

Calculated values
For the uncorrected formation energy, the calculation gives 0.16 eV per atom. As for the symmetry: No. 194. Its mass density is 5.24 g/cm³. The value obtained for the total moment is 0.0 Bohr magnetons per cell. For the total energy, the calculation gives -17.46 eV per formula unit.

Cell lengths 4.052, 4.052, 5.134 Å; angles 90.00, 90.00, 120.00 degrees
Fractional coordinates of all 6 atoms:
Co  0.333  0.667  0.250
Co  0.667  0.333  0.750
Si  0.000  0.000  0.000
Si  0.000  0.000  0.500
Si  0.333  0.667  0.750
Si  0.667  0.333  0.250

---

Here is an optimized crystal structure of CoSi from Alexandria via LeMat-Bulk. Energies are from PBE.

Calculated values
For the uncorrected formation energy, the calculation gives 0.30 eV per atom. As for the symmetry: No. 217. Its mass density is 3.62 g/cm³. The value obtained for the total moment is 0.0 Bohr magnetons per cell. For the total energy, the calculation gives -11.94 eV per formula unit.

Cell lengths 5.919, 5.919, 5.919 Å; angles 109.47, 109.47, 109.47 degrees
Fractional coordinates of all 8 atoms:
Co  0.000  0.000  0.255
Co  0.000  0.255  0.000
Co  0.255  0.000  0.000
Co  0.745  0.745  0.745
Si  0.000  0.000  0.619
Si  0.000  0.619  0.000
Si  0.381  0.381  0.381
Si  0.619  0.000  0.000

---

Question: What is the total energy in the second record?
Answer: -17.46 eV per formula unit

---

Question: Which value of mass density does entry 2 give?
Answer: 5.24 g/cm³

---

Question: Which value of total energy does entry 1 give?
Answer: -12.81 eV per formula unit